DFT (SCAN) results for a PBEsol-optimized structure of GaAgTe2N.

Cell: 3.438 5.682 5.682 Å, 90.00 90.00 90.00°
Fractional coordinates of all 5 atoms:
Te 0.000 0.000 0.500
Te 0.000 0.500 0.000
Ga 0.000 0.000 0.000
Ag 0.500 0.500 0.500
N 0.500 0.000 0.000

Results
symmetry	P4/mmm, No. 123
raw formation energy	0.654	eV per atom


DFT (SCAN) results for a PBEsol-optimized structure of K2LaSiB.

Cell: 3.726 6.460 6.460 Å, 90.00 90.00 90.00°
Fractional coordinates of all 5 atoms:
K 0.000 0.000 0.500
K 0.000 0.500 0.000
B 0.000 0.000 0.000
Si 0.500 0.000 0.000
La 0.500 0.500 0.500

Results
symmetry	P4/mmm, No. 123
raw formation energy	0.743	eV per atom


DFT (SCAN) results for a PBEsol-optimized structure of Be2CuOsPd.

Cell: 3.953 3.953 4.452 Å, 90.00 90.00 90.00°
Fractional coordinates of all 5 atoms:
Be 0.000 0.500 0.000
Be 0.500 0.000 0.000
Os 0.500 0.500 0.500
Cu 0.000 0.000 0.500
Pd 0.000 0.000 0.000

Results
DFT formation energy	1.11	eV per atom
symmetry	P4/mmm, No. 123


DFT (SCAN) results for a PBEsol-optimized structure of BaP2Pd.

Cell: 4.860 4.860 4.860 Å, 60.00 60.00 60.00°
Fractional coordinates of all 4 atoms:
P 0.250 0.250 0.250
P 0.750 0.750 0.750
Ba 0.500 0.500 0.500
Pd 0.000 0.000 0.000

Results
DFT formation energy	0.10	eV per atom
symmetry	Fm-3m, No. 225


DFT (SCAN) results for a PBEsol-optimized structure of LiVOF3.

Cell: 5.030 6.981 7.943 Å, 90.00 90.00 90.00°
Fractional coordinates of all 24 atoms:
Li 0.541 0.832 0.138
Li 0.541 0.668 0.638
Li 0.459 0.332 0.138
Li 0.459 0.168 0.638
V 0.959 0.511 0.958
V 0.959 0.989 0.458
V 0.041 0.011 0.958
V 0.041 0.489 0.458
O 0.850 0.956 0.269
O 0.850 0.544 0.769
O 0.150 0.456 0.269
O 0.150 0.044 0.769
F 0.682 0.927 0.608
F 0.682 0.573 0.108
F 0.318 0.427 0.608
F 0.318 0.073 0.108
F 0.706 0.906 0.938
F 0.706 0.594 0.438
F 0.294 0.406 0.938
F 0.294 0.094 0.438
F 0.153 0.750 0.508
F 0.153 0.750 0.008
F 0.847 0.250 0.508
F 0.847 0.250 0.008

Results
symmetry	Pca2_1, No. 29
raw formation energy	-2.970	eV per atom
offset from the most stable computed form	0.059	eV/atom


DFT (SCAN) results for a PBEsol-optimized structure of LaTcSb2.

Cell: 3.559 3.559 7.269 Å, 90.00 90.00 90.00°
Fractional coordinates of all 4 atoms:
La 0.500 0.500 0.740
Sb 0.000 0.000 0.033
Sb 0.500 0.500 0.291
Tc 0.000 0.000 0.436

Results
symmetry	P4mm, No. 99
raw formation energy	-0.186	eV per atom
offset from the most stable computed form	0.000	eV/atom